The following is a PBE-GGA calculation of crystalline Mn2CoH at its relaxed geometry, from Alexandria.

Properties
E above lowest polymorph (meV/atom): 0
Final energy (eV per atom): -7.18
Symmetry: P2/m

Lattice parameters (Å, degrees): 4.4435 2.5395 6.2919 90.00 103.14 90.00
Last column: nearest neighbours and their distance in Å.
Atoms (fractional coordinates):
Mn (0.2202, 0.0000, 0.1734)  3 H 1.81-1.83
Mn (0.2793, 0.5000, 0.8250)  3 H 1.82-1.84
Mn (0.7207, 0.5000, 0.1750)  3 H 1.82-1.84
Mn (0.7798, 0.0000, 0.8266)  3 H 1.81-1.83
Co (0.0000, 0.0000, 0.5000)  6 Mn 2.47-2.49, 6 Co 2.54-2.56
Co (0.5000, 0.5000, 0.5000)  6 Mn 2.46-2.49, 6 Co 2.54-2.56
H (0.0000, 0.5000, 0.0000)  6 Mn 1.81-1.84
H (0.5000, 0.0000, 0.0000)  6 Mn 1.82-1.83